The following is a DFT calculation (PBEsol) of an optimized crystal structure of TaAl2Mo.

a b c (Å): 2.7865 4.4751 5.0437
angles (deg): 90.00 96.80 90.00
Fractional coordinates of all 4 atoms:
Al: 0.8905 0.0000 0.9852
Al: 0.8489 0.5000 0.2683
Mo: 0.4647 0.0000 0.4830
Ta: 0.2959 0.5000 0.7635

The value obtained for the distance to the lowest polymorph of the same formula is 0.00 eV/f.u.

=====

The following is a DFT calculation (PBEsol) of an optimized crystal structure of TaAl3Mo.

a b c (Å): 4.5928 4.5928 4.5928
angles (deg): 90.00 90.00 90.00
Each line ends with the local moment (μB).
Fractional coordinates of all 5 atoms:
Ta: 0.5000 0.5000 0.5000  0.51
Mo: 0.0000 0.0000 0.0000  -0.03
Al: 0.0000 0.5000 0.0000  0.00
Al: 0.5000 0.0000 0.0000  0.00
Al: 0.0000 0.0000 0.5000  0.00

=====

The following is a DFT calculation (PBEsol) of an optimized crystal structure of TaAl2Mo.

a b c (Å): 3.3209 3.3209 5.7962
angles (deg): 90.00 90.00 90.00
Fractional coordinates of all 4 atoms:
Al: 0.0000 0.0000 0.0094
Al: 0.5000 0.5000 0.2513
Ta: 0.5000 0.5000 0.7318
Mo: 0.0000 0.0000 0.5075

The value obtained for the distance to the lowest polymorph of the same formula is 0.08 eV/f.u.

=====

The following is a DFT calculation (PBEsol) of an optimized crystal structure of TaAlMo.

a b c (Å): 3.3308 3.3308 4.9529
angles (deg): 109.65 109.65 90.00
Fractional coordinates of all 3 atoms:
Ta: 0.3255 0.3255 0.6510
Al: 0.0042 0.0042 0.0083
Mo: 0.6703 0.6703 0.3407

The value obtained for the distance to the lowest polymorph of the same formula is 0.00 eV/f.u.

=====

The following is a DFT calculation (PBEsol) of an optimized crystal structure of TaAl2Mo.

a b c (Å): 2.8502 2.8502 9.2657
angles (deg): 81.15 81.15 60.00
Fractional coordinates of all 4 atoms:
Al: 0.2523 0.2523 0.2432
Al: 0.7477 0.7477 0.7568
Ta: 0.5000 0.5000 0.5000
Mo: 0.0000 0.0000 0.0000

The value obtained for the distance to the lowest polymorph of the same formula is 0.79 eV/f.u.

=====

The following is a DFT calculation (PBEsol) of an optimized crystal structure of TaAl2Mo.

a b c (Å): 2.7682 2.7682 8.7567
angles (deg): 90.00 90.00 107.66
Fractional coordinates of all 4 atoms:
Mo: 0.0000 0.0000 0.5072
Ta: 0.5000 0.5000 0.2510
Al: 0.5000 0.5000 0.7431
Al: 0.0000 0.0000 0.9987

The value obtained for the distance to the lowest polymorph of the same formula is 0.69 eV/f.u.

=====

The following is a DFT calculation (PBEsol) of an optimized crystal structure of TaAlMo.

a b c (Å): 2.7502 4.4955 4.4955
angles (deg): 120.00 90.00 90.00
Fractional coordinates of all 3 atoms:
Mo: 0.6483 0.3333 0.6667
Ta: 0.3727 0.6667 0.3333
Al: 0.9790 0.0000 0.0000

The value obtained for the distance to the lowest polymorph of the same formula is 0.13 eV/f.u.

=====

The following is a DFT calculation (PBEsol) of an optimized crystal structure of TaAl2Mo.

a b c (Å): 2.7465 5.0579 5.0579
angles (deg): 114.56 96.67 96.67
Fractional coordinates of all 4 atoms:
Al: 0.0000 0.0000 0.5000
Al: 0.0000 0.5000 0.0000
Ta: 0.5000 0.5000 0.5000
Mo: 0.5000 0.0000 0.0000

The value obtained for the distance to the lowest polymorph of the same formula is 0.17 eV/f.u.

=====

| no. | M_tot (μB per atom) | formation enthalpy at 0 K (kcal/mol of atoms) |
| --- | --- | --- |
| 1 | 0.0000 | -4.7 |
| 2 | 0.1428 | 25.4 |
| 3 | 0.0000 | -4.2 |
| 4 | 0.0000 | -4.1 |
| 5 | 0.0001 | -0.2 |
| 6 | 0.0001 | -0.7 |
| 7 | 0.0000 | -3.1 |
| 8 | 0.0000 | -3.7 |